No. 1
TbPrCd | the Alexandria database | PBE | relaxed; formation energy = 26 kJ/mol of formula units; space group = Pnma; final energy = -10.05 eV/f.u.; ΔE to the lowest computed polymorph = 287 meV/atom
1.0
-0.1667 -3.8304 -3.5753
7.3173 -1.0620 0.7966
-1.8474 -7.0210 7.6081
Tb Cd Pr
4 4 4
Cartesian
6.9384 -4.7829 -0.9645
2.8879 -4.1423 2.3815
-1.6353 -7.1305 5.7939
2.4152 -7.7711 2.4479
4.6298 -6.3001 0.7686
1.5183 -2.0914 0.2481
0.6733 -5.6133 4.0608
3.7849 -9.8220 4.5812
3.2669 -4.3088 -1.3012
6.5635 -4.6171 2.7188
2.0363 -7.6046 6.1306
-1.2603 -7.2963 2.1106

***

No. 2
ScNiBRu2 | the Alexandria database | PBE | relaxed; formation energy = -202 kJ/mol of formula units; space group = P4/mmm; final energy = -39.43 eV/f.u.
1.0
4.1461 0.0000 0.0000
0.0000 4.1461 0.0000
0.0000 0.0000 3.8622
Sc Ru B Ni
1 2 1 1
Cartesian
2.0730 2.0730 1.9311
0.0000 2.0730 0.0000
2.0730 0.0000 0.0000
0.0000 0.0000 0.0000
0.0000 0.0000 1.9311

***

No. 3
LiAc5S8 | the Alexandria database | PBE | relaxed; space group = I-4; energy relative to the elements, uncorrected = -2.07 eV per atom; final energy = -84.46 eV/f.u.
1.0
7.7902 0.0027 -0.0046
-2.6334 7.3316 0.0046
-2.5235 -3.7058 6.3707
Li Ac S
1 5 8
Cartesian
-1.2617 0.8871 4.7792
-1.2337 2.3097 0.8226
3.8269 5.5451 1.6010
2.6061 2.2054 4.0239
2.6334 -1.8515 3.1831
0.0674 -2.8032 6.2939
-0.9933 5.4010 0.1569
5.4853 -1.8816 4.6127
4.3601 0.4490 2.2958
1.7046 -0.3505 5.6214
1.5806 3.5207 1.5372
0.2617 3.3208 5.5217
0.5129 0.4168 2.4502
-2.3786 3.6378 3.2870

***

No. 4
RbPd | the Alexandria database | PBE | relaxed; formation energy = 67 kJ/mol of formula units; space group = I-43m; final energy = -5.46 eV/f.u.
1.0
-1.2617 4.3996 8.2891
-0.0561 -8.3671 4.4325
9.3842 0.5416 1.1410
Rb Pd
8 8
Cartesian
1.7163 -0.7289 2.9495
7.0749 -5.2244 6.1513
6.3823 2.1096 8.3667
0.9593 -3.0081 10.2575
5.7495 -2.4419 9.8808
1.7800 0.8882 7.5091
2.2930 -4.5445 5.8679
6.3102 -0.7536 4.4673
3.2119 -1.3641 5.5199
5.1113 -2.9576 6.6548
4.8658 -0.3580 7.4401
2.9436 -2.1720 8.1103
7.2451 -3.0771 12.4512
-0.1836 3.1550 8.0126
0.7766 -7.0121 4.9413
8.2946 0.0825 2.3200

***

No. 5
LiCaSiPd | the Alexandria database | PBE | relaxed; space group = Amm2; energy relative to the elements, uncorrected = -0.45 eV per atom; final energy = -16.35 eV/f.u.; ΔE to the lowest computed polymorph = 14 meV/atom
1.0
-2.1545 2.6579 -2.6396
0.3022 -2.7397 -3.0054
-4.3900 -0.6557 2.9229
Li Ca Si Pd
1 1 1 1
Cartesian
-3.3543 -3.0449 -0.3282
-2.8737 0.4705 -0.7179
-0.6965 -1.7749 -1.2187
-0.9469 -0.0508 -2.8155

***

No. 6
TiTc2Br | the Alexandria database | PBE | relaxed; space group = Fm-3m; energy relative to the elements, uncorrected = 0.58 eV per atom; final energy = -27.97 eV/f.u.; ΔE to the lowest computed polymorph = 0 meV/atom
1.0
0.0000 3.1404 3.1404
3.1404 0.0000 3.1404
3.1404 3.1404 0.0000
Tc Br Ti
2 1 1
Cartesian
1.5702 1.5702 1.5702
4.7107 4.7107 4.7107
3.1404 3.1404 3.1404
0.0000 0.0000 0.0000

***

Q: final energy of number 2 (ScNiBRu2)?
A: -39.43 eV/f.u.